## Ce4Ni3As8 (PBE-GGA)

Data for a geometry-optimized Ce4Ni3As8 structure.

Results
* total magnetization: 0.0 μB/cell
* calculated total energy: -6.150 eV per atom
* calculated formation energy: -931 meV/atom
* symmetry: P-4m2 (115)

a b c (Å): 4.0214 4.0214 18.5980
angles (deg): 90.00 90.00 90.00
With the nearest neighbours (Å) after each atom.
Fractional positions:
Ce1 0.5000 0.0000 0.3709  8 As 3.03-3.10, 4 Ni 3.13
Ce2 0.5000 0.0000 0.8846  2 Ni 2.94, 8 As 2.99-3.13
Ce3 0.0000 0.5000 0.1154  2 Ni 2.94, 8 As 2.99-3.13
Ce4 0.0000 0.5000 0.6291  8 As 3.03-3.10, 4 Ni 3.13
Ni1 0.5000 0.5000 0.5000  4 As 2.42
Ni2 0.0000 0.0000 0.0000  4 As 2.35
Ni3 0.0000 0.0000 0.5000  4 As 2.42
As1 0.5000 0.0000 0.0655  2 Ni 2.35
As2 0.5000 0.0000 0.5721  4 Ni 2.42
As3 0.0000 0.5000 0.4279  4 Ni 2.42
As4 0.0000 0.5000 0.9345  2 Ni 2.35
As5 0.5000 0.5000 0.2440  4 As 2.84, 4 Ce 3.10-3.13
As6 0.5000 0.5000 0.7560  4 As 2.84, 4 Ce 3.10-3.13
As7 0.0000 0.0000 0.2441  4 As 2.84, 4 Ce 3.10-3.13
As8 0.0000 0.0000 0.7559  4 As 2.84, 4 Ce 3.10-3.13